No. 1
This record from Alexandria describes a relaxed structure of Sr2PdAu. The functional is GGA-PBE.

abc: 4.3534 4.3534 23.1242
angles: 90.00 90.00 120.00
Last column: nearest neighbours and their distance in Å.
Space group R3m (No. 160, hexagonal axes)
Asymmetric unit:
Sr 0.0000 0.0000 0.0000 [3 per cell]  3 Pd 3.17, 3 Au 3.22
Sr 0.0000 0.0000 0.1633 [3 per cell]  3 Pd 3.11, 3 Au 3.16
Pd 0.0000 0.0000 0.4172 [3 per cell]  6 Sr 3.11-3.17
Au 0.0000 0.0000 0.5797 [3 per cell]  6 Sr 3.16-3.22

## Properties
- energy of formation from the pure elements (kJ per mole of atoms) = -51.0

=====

No. 2
This record from Alexandria describes a relaxed structure of Sr2Pd2Au. The functional is GGA-PBE.

abc: 3.8770 3.8770 17.4742
angles: 90.00 90.00 90.00
Last column: nearest neighbours and their distance in Å.
Space group I4/mmm (No. 139)
Asymmetric unit:
Sr 0.0000 0.0000 0.1126 [4 per cell]  4 Pd 3.09, 4 Au 3.37
Pd 0.0000 0.5000 0.2500 [4 per cell]  4 Pd 2.74
Au 0.0000 0.0000 0.5000 [2 per cell]  8 Sr 3.37

## Properties
- energy above the lowest structure with this stoichiometry (meV per atom) = 193
- energy of formation from the pure elements (kJ per mole of atoms) = -47.6

=====

No. 3
This record from Alexandria describes a relaxed structure of Sr3PdAu2. The functional is GGA-PBE.

abc: 5.3825 16.0911 7.6474
angles: 90.00 90.00 90.00
Last column: nearest neighbours and their distance in Å.
Space group Cmmm (No. 65)
Asymmetric unit:
Sr 0.0000 0.0000 0.2468 [4 per cell]  6 Au 3.29-3.32, 2 Pd 3.29
Sr 0.0000 0.3319 0.2452 [8 per cell]  3 Pd 3.24-3.28, 5 Au 3.29-3.33
Pd 0.0000 0.1677 0.0000 [4 per cell]  8 Sr 3.24-3.29
Au 0.0000 0.1657 0.5000 [4 per cell]  8 Sr 3.30-3.32
Au 0.0000 0.5000 0.0000 [2 per cell]  8 Sr 3.29
Au 0.0000 0.5000 0.5000 [2 per cell]  8 Sr 3.32-3.33

## Properties
- energy of formation from the pure elements (kJ per mole of atoms) = -65.6

=====

No. 4
This record from Alexandria describes a relaxed structure of Sr5PdAu2. The functional is GGA-PBE.

abc: 8.2434 8.2434 15.6674
angles: 90.00 90.00 90.00
Last column: nearest neighbours and their distance in Å.
Space group I4/mcm (No. 140)
Asymmetric unit:
Sr 0.0000 0.0000 0.0000 [4 per cell]  4 Au 3.26
Sr 0.1728 0.3272 0.1443 [16 per cell]  3 Au 3.26-3.36, 2 Pd 3.47
Pd 0.0000 0.0000 0.2500 [4 per cell]  8 Sr 3.47
Au 0.1253 0.3747 0.5000 [8 per cell]  1 Au 2.92, 4 Sr 3.26

## Properties
- energy of formation from the pure elements (kJ per mole of atoms) = -55.2

=====

No. 5
This record from Alexandria describes a relaxed structure of SrPd5Au7. The functional is GGA-PBE.

abc: 5.5467 9.3566 9.3544
angles: 90.00 90.00 90.00
Last column: nearest neighbours and their distance in Å.
Space group Imm2 (No. 44)
Asymmetric unit:
Sr 0.0000 0.0000 0.0000 [2 per cell]  10 Au 3.17-3.48, 2 Pd 3.50
Pd 0.0000 0.5000 0.2718 [2 per cell]  4 Pd 2.72, 6 Au 2.90-2.96
Pd 0.2499 0.2491 0.7518 [8 per cell]  3 Pd 2.72-2.77, 7 Au 2.73-2.88
Au 0.0000 0.0000 0.3449 [2 per cell]  4 Pd 2.86, 5 Au 2.96-3.03
Au 0.0000 0.0000 0.6608 [2 per cell]  6 Pd 2.84-2.96, 3 Au 2.96-3.05, 1 Sr 3.17
Au 0.0000 0.2841 0.5004 [4 per cell]  5 Pd 2.73-2.94, 5 Au 2.91-3.05
Au 0.0000 0.3458 0.0032 [4 per cell]  5 Pd 2.85-2.90, 4 Au 2.89-3.03
Au 0.0000 0.5000 0.7246 [2 per cell]  4 Pd 2.74, 6 Au 2.91-2.99

## Properties
- energy of formation from the pure elements (kJ per mole of atoms) = -23.6

=====

No. 6
This record from Alexandria describes a relaxed structure of SrPd2Au3. The functional is GGA-PBE.

abc: 6.0370 6.0370 22.3371
angles: 90.00 90.00 120.00
Last column: nearest neighbours and their distance in Å.
Space group R-3m (No. 166, hexagonal axes)
Asymmetric unit:
Sr 0.0000 0.0000 0.2213 [6 per cell]  9 Au 3.03-3.21, 3 Pd 3.05
Pd 0.0000 0.0000 0.0000 [3 per cell]  6 Au 2.88, 6 Pd 3.02
Pd 0.0000 0.5000 0.0000 [9 per cell]  4 Au 2.85, 6 Pd 3.02, 2 Sr 3.05
Au 0.0065 0.5032 0.2317 [18 per cell]  3 Pd 2.85-2.88, 4 Au 2.96-3.08, 2 Sr 3.03

## Properties
- energy of formation from the pure elements (kJ per mole of atoms) = -26.8

=====

No. 7
This record from Alexandria describes a relaxed structure of SrPd3Au. The functional is GGA-PBE.

abc: 5.0988 5.0988 5.0988
angles: 90.00 90.00 90.00
Last column: nearest neighbours and their distance in Å.
Space group Pm-3m (No. 221)
Asymmetric unit:
Sr 0.0000 0.0000 0.0000 [1 per cell]  6 Pd 2.55
Pd 0.0000 0.0000 0.5000 [3 per cell]  2 Sr 2.55
Au 0.5000 0.5000 0.5000 [1 per cell]  12 Pd 3.61

## Properties
- energy above the lowest structure with this stoichiometry (meV per atom) = 1354
- energy of formation from the pure elements (kJ per mole of atoms) = 96.4

=====

No. 8
This record from Alexandria describes a relaxed structure of SrPd3Au. The functional is GGA-PBE.

abc: 6.4030 6.4030 13.0555
angles: 90.00 90.00 120.00
Last column: nearest neighbours and their distance in Å.
Space group P6_3/mmc (No. 194)
Asymmetric unit:
Sr 0.0000 0.0000 0.0000 [2 per cell]  6 Pd 3.20
Sr 0.3333 0.6667 0.2500 [2 per cell]  6 Pd 3.22
Pd 0.0000 0.5000 0.0000 [6 per cell]  2 Au 2.62
Pd 0.1340 0.2680 0.7500 [6 per cell]  2 Pd 2.57, 2 Au 2.62
Au 0.3333 0.6667 0.6417 [4 per cell]  6 Pd 2.62, 1 Au 2.83

## Properties
- energy above the lowest structure with this stoichiometry (meV per atom) = 217
- energy of formation from the pure elements (kJ per mole of atoms) = -13.3

=====

No. 9
This record from Alexandria describes a relaxed structure of SrPdAu. The functional is GGA-PBE.

abc: 10.9402 4.6996 7.5521
angles: 90.00 132.04 90.00
Last column: nearest neighbours and their distance in Å.
Space group C2/m (No. 12)
Asymmetric unit:
Sr 0.0452 0.0000 0.2947 [4 per cell]  6 Pd 3.23-3.53, 6 Au 3.29-3.42
Pd 0.1580 0.5000 0.7074 [4 per cell]  1 Pd 2.69, 3 Au 2.74-2.99
Au 0.1681 0.5000 0.1135 [4 per cell]  3 Pd 2.74-2.99, 1 Au 2.83

## Properties
- energy above the lowest structure with this stoichiometry (meV per atom) = 49
- energy of formation from the pure elements (kJ per mole of atoms) = -60.7

=====

No. 10
This record from Alexandria describes a relaxed structure of Sr2PdAu2. The functional is GGA-PBE.

abc: 11.4935 4.4750 12.0189
angles: 90.00 117.90 90.00
Last column: nearest neighbours and their distance in Å.
Space group C2/m (No. 12)
Asymmetric unit:
Sr 0.0476 0.0000 0.3594 [4 per cell]  4 Pd 3.22-3.58, 7 Au 3.27-3.52
Sr 0.1955 0.0000 0.1133 [4 per cell]  2 Pd 3.19, 6 Au 3.23-3.37
Pd 0.2216 0.5000 0.3126 [4 per cell]  3 Au 2.72-2.74
Au 0.0252 0.5000 0.8902 [4 per cell]  1 Pd 2.74, 1 Au 2.95
Au 0.1333 0.5000 0.5828 [4 per cell]  2 Pd 2.72, 1 Au 2.76

## Properties
- energy above the lowest structure with this stoichiometry (meV per atom) = 0
- energy of formation from the pure elements (kJ per mole of atoms) = -68.2

=====

No. 11
This record from Alexandria describes a relaxed structure of Sr2Pd2Au. The functional is GGA-PBE.

abc: 4.7219 5.8308 8.9772
angles: 90.00 90.00 90.00
Last column: nearest neighbours and their distance in Å.
Space group Immm (No. 71)
Asymmetric unit:
Sr 0.0000 0.0000 0.1998 [4 per cell]  6 Pd 3.10-3.27, 2 Au 3.42
Pd 0.0000 0.2631 0.5000 [4 per cell]  2 Pd 2.76-3.07, 2 Au 2.82
Au 0.0000 0.5000 0.0000 [2 per cell]  4 Pd 2.82

## Properties
- energy above the lowest structure with this stoichiometry (meV per atom) = 0
- energy of formation from the pure elements (kJ per mole of atoms) = -66.2

=====

No. 12
This record from Alexandria describes a relaxed structure of SrPd4Au. The functional is GGA-PBE.

abc: 7.6871 7.6871 7.6871
angles: 90.00 90.00 90.00
Last column: nearest neighbours and their distance in Å.
Space group F-43m (No. 216)
Asymmetric unit:
Sr 0.0000 0.0000 0.0000 [4 per cell]  12 Pd 3.19, 4 Au 3.33
Pd 0.1244 0.1244 0.6244 [16 per cell]  6 Pd 2.70-2.73
Au 0.2500 0.2500 0.2500 [4 per cell]  12 Pd 3.19, 4 Sr 3.33

## Properties
- energy above the lowest structure with this stoichiometry (meV per atom) = 0
- energy of formation from the pure elements (kJ per mole of atoms) = -30.7